# AcFe2H7, optimized geometry, DFT GGA-PBE
# - DFT total energy: -4.609 eV/atom
data_AcFe2H7
_cell_length_a 4.990
_cell_length_b 8.845
_cell_length_c 3.664
_cell_angle_alpha 90.00
_cell_angle_beta 90.00
_cell_angle_gamma 90.00
_space_group_name_H-M_alt 'C m m m'
_space_group_IT_number 65
_space_group_name_Hall '-C 2 2'
loop_
_atom_site_label
_atom_site_type_symbol
_atom_site_fract_x
_atom_site_fract_y
_atom_site_fract_z
Ac1 Ac 0.000 0.000 0.000
Fe1 Fe 0.000 0.312 0.500
H1 H 0.000 0.319 0.000
H2 H 0.000 0.500 0.500
H3 H 0.181 0.154 0.500